Record 1
This record from the Alexandria database describes a geometry-optimized CaBeRe2 structure. The functional is PBE.

Unit cell a=5.1566 b=5.1566 c=5.1566 alpha=143.31 beta=124.46 gamma=68.43
Fractional coordinates of all 4 atoms:
Ca: 0.0000 0.0000 0.0000
Be: 0.7227 0.2227 0.5000
Re: 0.2842 0.7842 0.5000
Re: 0.5070 0.5070 0.0000

Results
E_form: 2.88 eV per formula unit
VASP energy: -6.94 eV/atom


Record 2
This record from the Alexandria database describes a geometry-optimized Ac2Zn6Cd structure. The functional is PBE.

Unit cell a=6.1295 b=6.1295 c=6.1411 alpha=90.00 beta=90.00 gamma=120.00
Fractional coordinates of all 9 atoms:
Ac: 0.3333 0.6667 0.3454
Ac: 0.6667 0.3333 0.6546
Zn: 0.1788 0.3576 0.8523
Zn: 0.1788 0.8212 0.8523
Zn: 0.3576 0.1788 0.1477
Zn: 0.6424 0.8212 0.8523
Zn: 0.8212 0.1788 0.1477
Zn: 0.8212 0.6424 0.1477
Cd: 0.0000 0.0000 0.5000

Results
E_form: -2.28 eV per formula unit
VASP energy: -2.12 eV/atom


Number 1: calculated volume 16.6 A^3/atom. Number 2: calculated volume 22.2 A^3/atom.